VASP calculation (GGA-PBE) on a relaxed structure of Ho4In2Ir.

```
Ho4In2Ir
1.0
6.4528 0.0000 0.0000
0.0000 3.7247 0.0000
-3.1524 0.0000 8.4497
Ho In Ir
4 2 1
direct
0.1220 0.0000 0.2496
0.3311 0.5000 0.6485
0.6689 0.5000 0.3515
0.8780 0.0000 0.7504
0.2661 0.5000 0.9980
0.7339 0.5000 0.0020
0.5000 0.0000 0.5000
```

Final energy: -5.0802 eV/atom
ΔE_f: -0.42 eV/atom
Space-group type: P2/m (10)
Total moment: 0.0000 μB per atom